Entry 1:
A PBEsol-optimized structure of TaCrCd2, computed with meta-GGA SCAN.

a b c (Å): 2.757 2.757 8.784
angles (deg): 90.00 90.00 90.00
Positions (direct):
Cd 0.000 0.000 0.765
Cd 0.000 0.000 0.235
Ta 0.500 0.500 0.500
Cr 0.500 0.500 0.000

Values from the calculation:
The energy of formation is 512 meV/atom.

---

Entry 2:
A PBEsol-optimized structure of LaFe4P12, computed with meta-GGA SCAN.

a b c (Å): 6.698 6.698 6.698
angles (deg): 109.47 109.47 109.47
Positions (direct):
P 0.507 0.353 0.154
P 0.801 0.647 0.154
P 0.353 0.154 0.507
P 0.846 0.493 0.647
P 0.154 0.507 0.353
P 0.353 0.846 0.199
P 0.154 0.801 0.647
P 0.647 0.154 0.801
P 0.493 0.647 0.846
P 0.647 0.846 0.493
P 0.199 0.353 0.846
P 0.846 0.199 0.353
La 0.000 0.000 0.000
Fe 0.000 0.000 0.500
Fe 0.500 0.500 0.500
Fe 0.500 0.000 0.000
Fe 0.000 0.500 0.000

Values from the calculation:
The energy of formation is -607 meV/atom.

---

Entry 3:
A PBEsol-optimized structure of TcAs2, computed with meta-GGA SCAN.

a b c (Å): 3.161 4.835 6.476
angles (deg): 90.00 104.12 90.00
Positions (direct):
Tc 0.298 0.750 0.597
Tc 0.702 0.250 0.403
As 0.959 0.750 0.917
As 0.644 0.750 0.288
As 0.041 0.250 0.083
As 0.356 0.250 0.712

Values from the calculation:
The energy of formation is -118 meV/atom. For the energy relative to the lowest polymorph listed for this composition, the calculation gives 127 meV per atom.

---

Entry 4:
A PBEsol-optimized structure of LaMnSi2, computed with meta-GGA SCAN.

a b c (Å): 3.990 4.109 8.993
angles (deg): 76.79 90.00 90.00
Site moments in Bohr magnetons follow the coordinates.
Positions (direct):
La 0.250 0.103 0.794  -0.02
La 0.750 0.897 0.206  -0.02
Mn 0.750 0.249 0.501  2.23
Mn 0.250 0.751 0.499  2.23
Si 0.250 0.320 0.361  -0.12
Si 0.750 0.537 0.927  -0.02
Si 0.750 0.680 0.639  -0.12
Si 0.250 0.463 0.073  -0.02

Values from the calculation:
The total DFT energy (no corrections) is -1.5438 Ry per atom.

---

Entry 5:
A PBEsol-optimized structure of CaLaCo2, computed with meta-GGA SCAN.

a b c (Å): 3.993 5.242 5.597
angles (deg): 74.83 69.10 67.61
Site moments in Bohr magnetons follow the coordinates.
Positions (direct):
Co 0.739 0.454 0.068  0.91
Co 0.261 0.546 0.932  0.91
La 0.500 0.000 0.000  -0.21
Ca 0.000 0.500 0.500  -0.05

Values from the calculation:
The energy of formation is 202 meV/atom.

---

Entry 6:
A PBEsol-optimized structure of YReCl3, computed with meta-GGA SCAN.

a b c (Å): 4.686 4.686 4.686
angles (deg): 90.00 90.00 90.00
Positions (direct):
Cl 0.000 0.000 0.500
Cl 0.000 0.500 0.000
Cl 0.500 0.000 0.000
Y 0.500 0.500 0.500
Re 0.000 0.000 0.000

Values from the calculation:
The total DFT energy (no corrections) is -1.8014 Ry per atom.

---

Entry 7:
A PBEsol-optimized structure of LiNF2, computed with meta-GGA SCAN.

a b c (Å): 3.924 3.924 6.377
angles (deg): 107.92 107.92 90.00
Site moments in Bohr magnetons follow the coordinates.
Positions (direct):
F 0.382 0.875 0.250  0.10
F 0.125 0.132 0.750  0.10
F 0.868 0.375 0.250  0.10
F 0.625 0.618 0.750  0.10
N 0.250 0.750 0.500  1.32
N 0.000 0.000 0.000  1.32
Li 0.750 0.250 0.500  0.00
Li 0.500 0.500 0.000  0.00

Values from the calculation:
The total DFT energy (no corrections) is -0.3721 Ry per atom.

---

Entry 8:
A PBEsol-optimized structure of ScAlNi, computed with meta-GGA SCAN.

a b c (Å): 5.057 5.057 8.126
angles (deg): 90.00 90.00 118.99
Positions (direct):
Al 0.164 0.346 0.000
Al 0.654 0.836 0.000
Al 0.007 0.993 0.263
Al 0.007 0.993 0.737
Ni 0.828 0.654 0.500
Ni 0.346 0.172 0.500
Ni 0.164 0.836 0.000
Ni 0.832 0.168 0.500
Sc 0.667 0.333 0.207
Sc 0.332 0.668 0.673
Sc 0.332 0.668 0.327
Sc 0.667 0.333 0.793

Values from the calculation:
The energy of formation is -644 meV/atom.

---

Entry 9:
A PBEsol-optimized structure of MnO, computed with meta-GGA SCAN.

a b c (Å): 2.732 2.943 2.943
angles (deg): 120.00 90.00 90.00
Site moments in Bohr magnetons follow the coordinates.
Positions (direct):
Mn 0.500 0.667 0.333  4.52
O 0.000 0.333 0.667  0.25

Values from the calculation:
The total DFT energy (no corrections) is -1.0223 Ry per atom.

---

Entry 10:
A PBEsol-optimized structure of SnTe2Mo, computed with meta-GGA SCAN.

a b c (Å): 3.065 3.065 12.246
angles (deg): 82.81 82.81 60.00
Positions (direct):
Mo 0.000 0.000 0.000
Sn 0.500 0.500 0.500
Te 0.925 0.925 0.225
Te 0.075 0.075 0.775

Values from the calculation:
The total DFT energy (no corrections) is -2.6150 Ry per atom.

---

Entry 11:
A PBEsol-optimized structure of ScTa2Cu, computed with meta-GGA SCAN.

a b c (Å): 2.969 5.038 5.234
angles (deg): 112.70 106.47 90.00
Positions (direct):
Ta 0.774 0.206 0.548
Ta 0.011 0.044 0.022
Cu 0.489 0.576 0.977
Sc 0.226 0.674 0.453

Values from the calculation:
The energy of formation is 174 meV/atom. For the energy relative to the lowest polymorph listed for this composition, the calculation gives 82 meV per atom.

---

Entry 12:
A PBEsol-optimized structure of LiTcRh, computed with meta-GGA SCAN.

a b c (Å): 4.004 4.004 4.004
angles (deg): 60.00 60.00 60.00
Positions (direct):
Rh 0.250 0.250 0.250
Li 0.500 0.500 0.500
Tc 0.000 0.000 0.000

Values from the calculation:
The energy of formation is 303 meV/atom. For the energy relative to the lowest polymorph listed for this composition, the calculation gives 266 meV per atom.

---

Entry 13:
A PBEsol-optimized structure of CoRh, computed with meta-GGA SCAN.

a b c (Å): 2.609 4.178 4.454
angles (deg): 90.00 90.00 90.00
Site moments in Bohr magnetons follow the coordinates.
Positions (direct):
Co 0.500 0.500 0.421  2.02
Co 0.000 0.000 0.579  2.02
Rh 0.000 0.500 0.912  0.60
Rh 0.500 0.000 0.088  0.60

Values from the calculation:
The energy of formation is 57 meV/atom.

---

Entry 14:
A PBEsol-optimized structure of CaBePO2, computed with meta-GGA SCAN.

a b c (Å): 4.076 4.076 5.842
angles (deg): 90.00 90.00 90.00
Site moments in Bohr magnetons follow the coordinates.
Positions (direct):
P 0.000 0.000 0.500  0.54
Be 0.500 0.500 0.500  -0.05
O 0.000 0.500 0.000  0.81
O 0.500 0.000 0.000  0.81
Ca 0.000 0.000 0.000  0.03

Values from the calculation:
The total DFT energy (no corrections) is -0.5215 Ry per atom.

---

Entry 15:
A PBEsol-optimized structure of LiHg2Ge2, computed with meta-GGA SCAN.

a b c (Å): 3.696 3.696 8.091
angles (deg): 103.20 103.20 90.00
Positions (direct):
Ge 0.750 0.250 0.500
Ge 0.250 0.750 0.500
Hg 0.594 0.594 0.188
Hg 0.406 0.406 0.812
Li 0.000 0.000 0.000

Values from the calculation:
The energy of formation is 26 meV/atom.

---

Entry 16:
A PBEsol-optimized structure of GdErIr2, computed with meta-GGA SCAN.

a b c (Å): 4.776 4.776 4.776
angles (deg): 60.00 60.00 60.00
Site moments in Bohr magnetons follow the coordinates.
Positions (direct):
Ir 0.750 0.750 0.750  -0.23
Ir 0.250 0.250 0.250  -0.23
Er 0.500 0.500 0.500  0.06
Gd 0.000 0.000 0.000  7.09

Values from the calculation:
The energy of formation is -935 meV/atom.

---

Entry 17:
A PBEsol-optimized structure of Cr2Rh3, computed with meta-GGA SCAN.

a b c (Å): 2.624 2.624 10.712
angles (deg): 82.97 82.97 60.00
Positions (direct):
Rh 0.000 0.000 0.000
Rh 0.796 0.796 0.611
Rh 0.204 0.204 0.389
Cr 0.400 0.400 0.800
Cr 0.600 0.600 0.200

Values from the calculation:
The energy of formation is -16 meV/atom.

---

Entry 18:
A PBEsol-optimized structure of Er2SiRh3, computed with meta-GGA SCAN.

a b c (Å): 4.955 4.955 4.955
angles (deg): 66.95 66.95 66.95
Positions (direct):
Rh 0.000 0.000 0.500
Rh 0.500 0.000 0.000
Rh 0.000 0.500 0.000
Er 0.371 0.371 0.371
Er 0.629 0.629 0.629
Si 0.000 0.000 0.000

Values from the calculation:
The total DFT energy (no corrections) is -2.6805 Ry per atom.

---

Entry 19:
A PBEsol-optimized structure of LiAg2, computed with meta-GGA SCAN.

a b c (Å): 2.822 5.413 6.799
angles (deg): 106.31 90.00 105.11
Positions (direct):
Ag 0.037 0.073 0.316
Ag 0.963 0.927 0.684
Ag 0.360 0.720 0.970
Ag 0.640 0.280 0.030
Li 0.312 0.625 0.349
Li 0.688 0.375 0.651

Values from the calculation:
The energy of formation is -131 meV/atom. For the energy relative to the lowest polymorph listed for this composition, the calculation gives 25 meV per atom.

---

Entry 20:
A PBEsol-optimized structure of Rb6Ti2O7, computed with meta-GGA SCAN.

a b c (Å): 9.657 9.657 9.904
angles (deg): 90.00 90.00 120.00
Positions (direct):
Rb 0.335 0.362 0.374
Rb 0.362 0.027 0.626
Rb 0.652 0.613 0.125
Rb 0.665 0.638 0.626
Rb 0.039 0.652 0.875
Rb 0.348 0.387 0.875
Rb 0.638 0.973 0.374
Rb 0.973 0.335 0.626
Rb 0.027 0.665 0.374
Rb 0.613 0.961 0.875
Rb 0.387 0.039 0.125
Rb 0.961 0.348 0.125
O 0.696 0.525 0.873
O 0.479 0.166 0.378
O 0.166 0.687 0.622
O 0.829 0.304 0.873
O 0.521 0.834 0.622
O 0.304 0.475 0.127
O 0.687 0.521 0.378
O 0.667 0.333 0.626
O 0.525 0.829 0.127
O 0.313 0.479 0.622
O 0.333 0.667 0.374
O 0.834 0.313 0.378
O 0.475 0.171 0.873
O 0.171 0.696 0.127
Ti 0.333 0.667 0.182
Ti 0.333 0.667 0.566
Ti 0.667 0.333 0.818
Ti 0.667 0.333 0.434

Values from the calculation:
For the energy relative to the lowest polymorph listed for this composition, the calculation gives 59 meV per atom.

---

Entry 21:
A PBEsol-optimized structure of Cs3BePt, computed with meta-GGA SCAN.

a b c (Å): 6.026 6.026 6.026
angles (deg): 90.00 90.00 90.00
Site moments in Bohr magnetons follow the coordinates.
Positions (direct):
Pt 0.500 0.500 0.500  0.15
Cs 0.000 0.500 0.000  0.02
Cs 0.500 0.000 0.000  0.02
Cs 0.000 0.000 0.500  0.02
Be 0.000 0.000 0.000  0.12

Values from the calculation:
The energy of formation is 904 meV/atom.

---

Entry 22:
A PBEsol-optimized structure of La3Y, computed with meta-GGA SCAN.

a b c (Å): 3.633 5.887 6.266
angles (deg): 90.00 90.00 90.00
Positions (direct):
La 0.000 0.000 0.000
La 0.500 0.500 0.833
La 0.500 0.000 0.504
Y 0.000 0.500 0.330

Values from the calculation:
The energy of formation is 33 meV/atom.

---

Entry 23:
A PBEsol-optimized structure of KZnIr, computed with meta-GGA SCAN.

a b c (Å): 2.828 2.828 7.711
angles (deg): 90.00 90.00 120.00
Positions (direct):
K 0.333 0.667 0.679
Ir 0.000 0.000 0.028
Zn 0.667 0.333 0.293

Values from the calculation:
The energy of formation is 470 meV/atom. For the energy relative to the lowest polymorph listed for this composition, the calculation gives 0 meV per atom.

---

Entry 24:
A PBEsol-optimized structure of RhI2BrO, computed with meta-GGA SCAN.

a b c (Å): 3.726 5.672 5.672
angles (deg): 90.00 90.00 90.00
Site moments in Bohr magnetons follow the coordinates.
Positions (direct):
I 0.000 0.500 0.000  0.10
I 0.000 0.000 0.500  0.10
O 0.500 0.000 0.000  0.01
Br 0.000 0.000 0.000  0.00
Rh 0.500 0.500 0.500  1.65

Values from the calculation:
The total DFT energy (no corrections) is -1.8812 Ry per atom.

---

The calculation returns the following total magnetic moment values, one per record and in order: 0.00, 0.00, 0.00, 2.00, 1.16, 0.00, 2.00, 0.00, 5.00, 0.00, 0.00, 0.00, 2.52, 2.99, 0.00, 6.84, 0.00, 0.00, 0.00, 0.26, 0.75, 0.00, 0.00, 1.99 μB/f.u..
The calculation returns the following D(E_F) values, one per record and in order: 1.848, 8.364, 3.097, 2.122, 2.630, 3.041, 0.070, 5.829, 0.164, 3.620, 3.210, 2.825, 3.726, 2.399, 1.669, 1.474, 3.859, 2.952, 1.632, 0.000, 11.417, 5.494, 2.044, 3.877 states/eV per cell.